DFT (PBE with a Hubbard U) results for a relaxed Li7FeO5F crystal.

Summary:
N(E_F): 1.157 states/eV/cell
relative energy among the computed polymorphs: 0 meV per atom
uncorrected energy: -143.2 eV per cell

Cell and atoms, written as CIF:
```
data_Li7FeO5F
_chemical_formula_sum 'Li14 Fe2 O10 F2'
_space_group_name_H-M_alt 'P 1'
_space_group_IT_number 1
_cell_length_a 5.524
_cell_length_b 5.525
_cell_length_c 10.876
_cell_angle_alpha 87.24
_cell_angle_beta 87.38
_cell_angle_gamma 61.47
loop_
_space_group_symop_operation_xyz
'x,y,z'
loop_
_atom_site_label
_atom_site_fract_x
_atom_site_fract_y
_atom_site_fract_z
_atom_site_occupancy
Li1 0.000 0.000 0.000 1
Li2 0.002 0.687 0.336 1
Li3 0.041 0.649 0.852 1
Li4 0.073 0.279 0.489 1
Li5 0.311 0.639 0.134 1
Li6 0.341 0.300 0.003 1
Li7 0.374 0.634 0.501 1
Li8 0.628 0.030 0.506 1
Li9 0.654 0.741 0.992 1
Li10 0.681 0.347 0.835 1
Li11 0.699 0.327 0.352 1
Li12 0.727 0.593 0.631 1
Li13 0.954 0.392 0.135 1
Li14 0.970 0.996 0.637 1
Fe1 0.358 0.007 0.761 1
Fe2 0.363 0.999 0.261 1
O1 0.022 0.649 0.038 1
O2 0.030 0.022 0.812 1
O3 0.057 0.320 0.308 1
O4 0.303 0.004 0.093 1
O5 0.355 0.949 0.593 1
O6 0.369 0.286 0.831 1
O7 0.369 0.672 0.309 1
O8 0.644 0.004 0.333 1
O9 0.681 0.700 0.804 1
O10 0.722 0.310 0.539 1
F1 0.002 0.670 0.540 1
F2 0.661 0.372 0.041 1
```